# 1
DFT (GGA-PBE) results for crystalline KMg3Mo at its relaxed geometry.

Output
SG: Pm-3m, No. 221
Energy above the most stable polymorph in this dataset, kJ/mol of atoms: 0.0

Unit cell a=5.463 b=5.463 c=5.463 alpha=90.00 beta=90.00 gamma=90.00
Positions (direct):
K (0.000, 0.000, 0.000)
Mg (0.000, 0.500, 0.500)
Mg (0.500, 0.000, 0.500)
Mg (0.500, 0.500, 0.000)
Mo (0.500, 0.500, 0.500)

---

# 2
DFT (GGA-PBE) results for crystalline K2MgMo at its relaxed geometry.

Output
SG: P4mm, No. 99

Unit cell a=3.773 b=3.773 c=10.356 alpha=90.00 beta=90.00 gamma=90.00
Positions (direct):
K (0.000, 0.000, 0.000)
K (0.500, 0.500, 0.394)
Mg (0.000, 0.000, 0.655)
Mo (0.500, 0.500, 0.746)

---

# 3
DFT (GGA-PBE) results for crystalline KMgMo at its relaxed geometry.

Output
SG: F-43m, No. 216
Energy above the most stable polymorph in this dataset, kJ/mol of atoms: 69.5

Unit cell a=5.322 b=5.322 c=5.322 alpha=60.00 beta=60.00 gamma=60.00
Positions (direct):
K (0.000, 0.000, 0.000)
Mg (0.250, 0.250, 0.250)
Mo (0.500, 0.500, 0.500)

---

# 4
DFT (GGA-PBE) results for crystalline KMgMo4 at its relaxed geometry.

Output
SG: F-43m, No. 216

Unit cell a=5.477 b=5.477 c=5.477 alpha=60.00 beta=60.00 gamma=60.00
Positions (direct):
K (0.000, 0.000, 0.000)
Mg (0.750, 0.750, 0.750)
Mo (0.374, 0.374, 0.374)
Mo (0.374, 0.374, 0.877)
Mo (0.374, 0.877, 0.374)
Mo (0.877, 0.374, 0.374)

---

# 5
DFT (GGA-PBE) results for crystalline K2MgMo at its relaxed geometry.

Output
SG: P4/mmm, No. 123

Unit cell a=4.852 b=4.852 c=5.941 alpha=90.00 beta=90.00 gamma=90.00
Positions (direct):
K (0.000, 0.500, 0.000)
K (0.500, 0.000, 0.000)
Mg (0.000, 0.000, 0.500)
Mo (0.500, 0.500, 0.500)

---

# 6
DFT (GGA-PBE) results for crystalline K2MgMo at its relaxed geometry.

Output
SG: P2/m, No. 10

Unit cell a=3.452 b=6.283 c=5.774 alpha=90.00 beta=94.65 gamma=90.00
Positions (direct):
K (0.238, 0.000, 0.255)
K (0.762, 0.000, 0.745)
Mg (0.500, 0.500, 0.000)
Mo (0.000, 0.500, 0.500)

---

# 7
DFT (GGA-PBE) results for crystalline K2MgMo at its relaxed geometry.

Output
SG: I4/mmm, No. 139

Unit cell a=6.856 b=6.856 c=6.856 alpha=138.92 beta=138.92 gamma=59.49
Positions (direct):
K (0.250, 0.750, 0.500)
K (0.750, 0.250, 0.500)
Mg (0.000, 0.000, 0.000)
Mo (0.500, 0.500, 0.000)

---

# 8
DFT (GGA-PBE) results for crystalline K2MgMo at its relaxed geometry.

Output
SG: Imm2, No. 44

Unit cell a=7.419 b=7.419 c=7.419 alpha=152.32 beta=128.30 gamma=59.64
Positions (direct):
K (0.000, 0.000, 0.000)
K (0.708, 0.208, 0.500)
Mg (0.278, 0.778, 0.500)
Mo (0.450, 0.450, 0.000)

---

Number 1: energy -2.572 eV/atom. Number 2: energy -2.773 eV/atom. Number 3: energy -2.908 eV/atom. Number 4: energy -6.701 eV/atom. Number 5: energy -2.474 eV/atom. Number 6: energy -2.467 eV/atom. Number 7: energy -2.471 eV/atom. Number 8: energy -2.579 eV/atom.